Compound: LiHg2N
Source: Alexandria
Functional: PBE
Structure: relaxed

Calculated values
Raw formation energy ... 705 meV per atom
Fermi-level density of states ... 8.5 states/eV/cell

Lattice parameters (Å, degrees): 6.081 6.081 10.245 90.00 90.00 90.00
Fractional coordinates of all 16 atoms:
Li 0.000 0.000 0.000
Li 0.000 0.500 0.250
Li 0.500 0.000 0.750
Li 0.500 0.500 0.500
Hg 0.167 0.250 0.625
Hg 0.250 0.667 0.875
Hg 0.250 0.833 0.375
Hg 0.333 0.250 0.125
Hg 0.667 0.750 0.125
Hg 0.750 0.167 0.375
Hg 0.750 0.333 0.875
Hg 0.833 0.750 0.625
N 0.000 0.000 0.500
N 0.000 0.500 0.750
N 0.500 0.000 0.250
N 0.500 0.500 0.000